This record from the Alexandria database describes a relaxed Pr2HfAu crystal. The functional is PBE-GGA.

Structure (extended XYZ):
```
4
Lattice="3.579 0.000 0.000 0.000 3.579 0.000 0.000 0.000 8.592" Properties=species:S:1:pos:R:3 pbc="T T T"
Pr 0.000 0.000 6.592
Pr 0.000 0.000 2.000
Hf 1.790 1.790 4.296
Au 1.790 1.790 0.000
```

Calculated values
* total DFT energy (no corrections): -5.91 eV/atom
* formation enthalpy at 0 K: -0.210 eV/atom
* total magnetic moment: 0.0 μB per formula unit
* space group: P4/mmm
* DOS(E_F): 4.05 states/eV/f.u.



This record from the Alexandria database describes a relaxed PrHfAu2 crystal. The functional is PBE-GGA.

Structure (extended XYZ):
```
4
Lattice="3.866 0.000 0.000 1.933 3.348 0.000 1.933 1.116 7.766" Properties=species:S:1:pos:R:3 pbc="T T T"
Pr 3.866 2.232 3.883
Hf 0.000 0.000 0.000
Au 5.799 3.348 6.092
Au 1.933 1.116 1.674
```

Calculated values
* total DFT energy (no corrections): -5.72 eV/atom
* formation enthalpy at 0 K: -0.397 eV/atom
* total magnetic moment: 0.0 μB per formula unit
* space group: R-3m
* DOS(E_F): 2.52 states/eV/f.u.



This record from the Alexandria database describes a relaxed PrHfAu2 crystal. The functional is PBE-GGA.

Structure (extended XYZ):
```
4
Lattice="-3.238 0.237 -1.254 1.018 -1.583 -2.928 -1.655 -6.643 3.016" Properties=species:S:1:pos:R:3 pbc="T T T"
Pr -1.937 -3.994 -0.583
Hf -1.110 -0.673 -2.091
Au -1.316 -5.284 2.399
Au -0.339 -1.359 0.617
```

Calculated values
* total DFT energy (no corrections): -5.89 eV/atom
* formation enthalpy at 0 K: -0.568 eV/atom
* total magnetic moment: 0.0 μB per formula unit
* space group: P4/mmm
* DOS(E_F): 4.23 states/eV/f.u.



This record from the Alexandria database describes a relaxed HfPtAu2 crystal. The functional is PBE-GGA.

Structure (extended XYZ):
```
8
Lattice="-2.205 -0.624 7.256 7.282 -0.342 2.183 2.591 2.225 4.969" Properties=species:S:1:pos:R:3 pbc="T T T"
Hf 2.538 -0.483 4.720
Hf 6.205 0.700 5.936
Au 0.175 0.122 6.066
Au 4.928 0.266 3.498
Au 3.831 1.307 7.262
Au 6.401 0.822 11.991
Pt 0.000 0.000 0.000
Pt 1.462 0.559 8.472
```

Calculated values
* total DFT energy (no corrections): -5.79 eV/atom
* formation enthalpy at 0 K: -0.154 eV/atom
* total magnetic moment: 0.0 μB per formula unit
* space group: I-42d
* DOS(E_F): 1.79 states/eV/f.u.



This record from the Alexandria database describes a relaxed HfPtAu2 crystal. The functional is PBE-GGA.

Structure (extended XYZ):
```
4
Lattice="0.000 3.294 3.294 3.294 0.000 3.294 3.294 3.294 0.000" Properties=species:S:1:pos:R:3 pbc="T T T"
Hf 0.000 0.000 0.000
Au 1.647 1.647 1.647
Au 4.941 4.941 4.941
Pt 3.294 3.294 3.294
```

Calculated values
* total DFT energy (no corrections): -6.13 eV/atom
* formation enthalpy at 0 K: -0.493 eV/atom
* total magnetic moment: 0.0 μB per formula unit
* space group: Fm-3m
* DOS(E_F): 2.47 states/eV/f.u.



This record from the Alexandria database describes a relaxed HfPtAu3 crystal. The functional is PBE-GGA.

Structure (extended XYZ):
```
20
Lattice="-5.421 -1.799 -0.136 2.376 -7.093 -0.889 -0.702 1.464 8.617" Properties=species:S:1:pos:R:3 pbc="T T T"
Hf 1.453 -4.731 2.015
Hf -5.199 -2.698 5.578
Hf -2.258 -2.570 1.334
Hf -1.488 -4.859 6.259
Pt 0.413 -5.801 4.326
Pt -4.159 -1.627 3.267
Pt -4.328 -0.835 7.580
Pt 0.582 -6.594 0.013
Au -1.468 -0.650 3.356
Au -2.278 -6.778 4.236
Au -2.097 -7.567 -0.076
Au -1.649 0.139 7.669
Au -1.311 -5.391 1.892
Au -2.436 -2.037 5.701
Au 0.550 -1.894 1.458
Au -4.296 -5.534 6.134
Au -0.527 -3.245 3.838
Au -3.220 -4.183 3.755
Au -3.574 -3.453 8.064
Au -0.172 -3.976 -0.471
```

Calculated values
* total DFT energy (no corrections): -5.60 eV/atom
* formation enthalpy at 0 K: -0.434 eV/atom
* total magnetic moment: 0.0 μB per formula unit
* space group: P2_1/c
* DOS(E_F): 1.70 states/eV/f.u.